No. 1
Mg4Pd5Au4 PBE optimized geometry; formation enthalpy at 0 K = -0.53 eV/atom; magnetic moment = 0.00 μB/f.u.; total DFT energy (no corrections) = -4.027 eV per atom; D(E_F) = 6.04 states/eV per cell
1.0
-3.610 -1.954 -0.103
1.473 -6.896 -2.668
-0.709 -3.360 6.712
Pd Mg Au
5 4 4
direct
0.553 0.758 0.136
0.000 0.000 0.000
0.311 0.136 0.242
0.447 0.242 0.864
0.689 0.864 0.758
0.225 0.641 0.910
0.775 0.359 0.090
0.135 0.090 0.641
0.865 0.910 0.359
0.091 0.528 0.290
0.381 0.710 0.528
0.909 0.472 0.710
0.619 0.290 0.472


No. 2
ZrOs2Pt PBE optimized geometry; formation enthalpy at 0 K = 0.02 eV/atom; magnetic moment = 0.00 μB/f.u.; total DFT energy (no corrections) = -9.240 eV per atom; D(E_F) = 3.17 states/eV per cell
1.0
-7.021 -6.448 -1.309
-4.865 -8.234 -1.055
-6.174 -7.275 1.240
Zr Os Pt
1 2 1
direct
0.750 0.750 0.750
0.993 0.993 0.993
0.253 0.253 0.253
0.504 0.504 0.504


No. 3
ThIn3Hg2Cl6 PBE optimized geometry; magnetic moment = 0.00 μB/f.u.; total DFT energy (no corrections) = -3.399 eV per atom; formation energy without anion corrections = -108 kJ/mol of atoms; D(E_F) = 2.99 states/eV per cell
1.0
-6.242 -0.245 -2.815
-0.725 -7.797 2.285
-2.989 6.273 5.896
Cl In Th Hg
6 3 1 2
direct
0.737 0.867 0.733
0.288 0.690 0.846
0.712 0.310 0.154
0.712 0.844 0.154
0.263 0.133 0.267
0.288 0.156 0.846
0.000 0.500 0.000
0.500 0.500 0.500
0.500 0.000 0.500
0.500 0.000 0.000
0.757 0.348 0.695
0.243 0.652 0.305


No. 4
LiNpPt3 PBE optimized geometry; formation enthalpy at 0 K = -0.44 eV/atom; magnetic moment = 3.52 μB/f.u.; relative energy among the computed polymorphs = 0.00 eV/f.u.; total DFT energy (no corrections) = -7.038 eV per atom; D(E_F) = 20.62 states/eV per cell
1.0
-3.474 3.124 2.230
-1.256 2.004 -4.772
-4.423 -6.053 1.594
Li Pt Np
2 6 2
direct
0.250 0.535 0.070
0.750 0.465 0.930
0.250 0.604 0.719
0.500 0.000 0.000
0.000 0.000 0.000
0.750 0.396 0.281
0.750 0.886 0.281
0.250 0.114 0.719
0.750 0.813 0.626
0.250 0.187 0.374


No. 5
AcTm5In4 PBE optimized geometry; formation enthalpy at 0 K = -0.32 eV/atom; magnetic moment = 0.00 μB/f.u.; total DFT energy (no corrections) = -4.066 eV per atom; D(E_F) = 9.66 states/eV per cell
1.0
-3.495 -1.100 -0.519
-0.261 -0.865 3.589
-6.550 18.885 4.075
In Tm Ac
4 5 1
direct
0.000 0.000 0.778
0.000 0.000 0.592
0.000 0.000 0.408
0.000 0.000 0.222
0.500 0.500 0.684
0.500 0.500 0.500
0.500 0.500 0.871
0.500 0.500 0.129
0.500 0.500 0.316
0.000 0.000 0.000


No. 6
Pr2Sm2Bi5 PBE optimized geometry; formation enthalpy at 0 K = -0.73 eV/atom; magnetic moment = 0.00 μB/f.u.; total DFT energy (no corrections) = -4.993 eV per atom; D(E_F) = 11.35 states/eV per cell
1.0
8.639 0.000 0.000
0.000 7.944 -4.649
0.000 -0.805 9.169
Pr Bi Sm
4 10 4
direct
0.339 0.157 0.157
0.161 0.657 0.657
0.661 0.843 0.843
0.839 0.343 0.343
0.351 0.994 0.707
0.149 0.494 0.207
0.149 0.207 0.494
0.000 0.000 0.000
0.351 0.707 0.994
0.649 0.293 0.006
0.851 0.506 0.793
0.649 0.006 0.293
0.851 0.793 0.506
0.500 0.500 0.500
0.500 0.691 0.309
0.000 0.191 0.809
0.500 0.309 0.691
0.000 0.809 0.191


No. 7
Cr2CdTc PBE optimized geometry; formation enthalpy at 0 K = 0.41 eV/atom; magnetic moment = 0.00 μB/f.u.; total DFT energy (no corrections) = -7.223 eV per atom; D(E_F) = 3.84 states/eV per cell
1.0
2.673 0.000 0.000
-0.931 2.505 0.000
0.000 0.000 8.756
Tc Cr Cd
1 2 1
direct
0.500 0.500 0.250
0.000 0.000 0.475
0.000 0.000 0.025
0.500 0.500 0.750


No. 8
LaCl PBE optimized geometry; magnetic moment = 0.00 μB/f.u.; total DFT energy (no corrections) = -4.866 eV per atom; formation energy without anion corrections = -143 kJ/mol of atoms; D(E_F) = 1.37 states/eV per cell
1.0
3.684 0.000 0.000
-1.842 3.190 0.000
0.000 0.000 4.533
La Cl
1 1
direct
0.667 0.333 0.500
0.000 0.000 0.000


> Which of these has the highest magnetic moment?

LiNpPt3